Record 1
# VAsSe2F | Alexandria | PBE with a Hubbard U | relaxed
data_VAsSe2F
_chemical_formula_sum 'V1 As1 Se2 F1'
_space_group_name_H-M_alt 'P 4/m m m'
_space_group_IT_number 123
_space_group_name_Hall '-P 4 2'
_cell_length_a 4.9288
_cell_length_b 4.9288
_cell_length_c 4.0255
_cell_angle_alpha 90.00
_cell_angle_beta 90.00
_cell_angle_gamma 90.00
loop_
_atom_site_label
_atom_site_type_symbol
_atom_site_fract_x
_atom_site_fract_y
_atom_site_fract_z
_atom_site_occupancy
V1 V 0.0000 0.0000 0.0000 1
As1 As 0.5000 0.5000 0.0000 1
Se1 Se 0.0000 0.5000 0.5000 1
F1 F 0.5000 0.5000 0.5000 1
# DOS(E_F) (states/eV/f.u.): 5.96
# E (eV/atom): -3.51


Record 2
# LiFe2C3O9 | Alexandria | PBE with a Hubbard U | relaxed
data_LiFe2C3O9
_chemical_formula_sum 'Li2 Fe4 C6 O18'
_space_group_name_H-M_alt 'P 1'
_space_group_IT_number 1
_cell_length_a 7.5808
_cell_length_b 7.5854
_cell_length_c 7.6626
_cell_angle_alpha 111.21
_cell_angle_beta 106.13
_cell_angle_gamma 108.08
loop_
_space_group_symop_operation_xyz
'x,y,z'
loop_
_atom_site_label
_atom_site_type_symbol
_atom_site_fract_x
_atom_site_fract_y
_atom_site_fract_z
_atom_site_occupancy
Li1 Li 0.0000 0.0000 0.0000 1
Li2 Li 0.4749 0.2220 0.9116 1
Fe1 Fe 0.1024 0.8168 0.5490 1
Fe2 Fe 0.2064 0.5411 0.1432 1
Fe3 Fe 0.7009 0.9251 0.2726 1
Fe4 Fe 0.8166 0.4319 0.6538 1
C1 C 0.0337 0.1737 0.7077 1
C2 C 0.2698 0.8036 0.9331 1
C3 C 0.4571 0.9776 0.5122 1
C4 C 0.5863 0.5392 0.3384 1
C5 C 0.8442 0.6386 0.0595 1
C6 C 0.9319 0.3223 0.2909 1
O1 O 0.0121 0.6735 0.2032 1
O2 O 0.0368 0.3520 0.8241 1
O3 O 0.0490 0.3114 0.1950 1
O4 O 0.0762 0.7448 0.8905 1
O5 O 0.0768 0.0600 0.7857 1
O6 O 0.3553 0.8938 0.8477 1
O7 O 0.3715 0.0744 0.6021 1
O8 O 0.3783 0.7656 0.0737 1
O9 O 0.3834 0.7718 0.4392 1
O10 O 0.4227 0.4384 0.1550 1
O11 O 0.5971 0.4604 0.4578 1
O12 O 0.6184 0.0794 0.4934 1
O13 O 0.7206 0.4533 0.9042 1
O14 O 0.7344 0.7181 0.3848 1
O15 O 0.7525 0.1589 0.2051 1
O16 O 0.8088 0.8015 0.0765 1
O17 O 0.9866 0.4870 0.4636 1
O18 O 0.9906 0.1154 0.5146 1
# E (eV/atom): -7.16